No. 1
Li2ScIn (PBE-GGA, optimized geometry); mass density = 3241 kg/m³; final energy = -12.8 eV/cell; calculated formation energy = 0.03 eV per atom; total magnetic moment = 0.32 μB/f.u.
1.0
1.6218 0.9363 9.7649
-1.6218 0.9363 9.7649
0.0000 -1.8726 9.7649
Li Sc In
2 1 1
direct
0.2443 0.2443 0.2443
0.7557 0.7557 0.7557
0.0000 0.0000 0.0000
0.5000 0.5000 0.5000

=====

No. 2
Ca2ScH6 (PBE-GGA, optimized geometry); mass density = 1992 kg/m³; final energy = -33.3 eV/cell; total magnetic moment = 0.00 μB/f.u.
1.0
0.0000 3.7952 3.7952
3.7952 0.0000 3.7952
3.7952 3.7952 0.0000
Ca Sc H
2 1 6
direct
0.2500 0.2500 0.2500
0.7500 0.7500 0.7500
0.0000 0.0000 0.0000
0.2580 0.2580 0.7420
0.2580 0.7420 0.2580
0.2580 0.7420 0.7420
0.7420 0.2580 0.2580
0.7420 0.2580 0.7420
0.7420 0.7420 0.2580

=====

No. 3
Sm3DyYHo (PBE-GGA, optimized geometry); mass density = 7311 kg/m³; final energy = -58.2 eV/cell; calculated formation energy = 0.12 eV per atom; total magnetic moment = 0.00 μB/f.u.
1.0
2.9184 -5.7721 0.0000
2.9184 5.7721 0.0000
0.0000 0.0000 11.6953
Sm Dy Y Ho
6 2 2 2
direct
0.1351 0.8649 0.7500
0.3306 0.6694 0.5284
0.3306 0.6694 0.9716
0.6694 0.3306 0.0284
0.6694 0.3306 0.4716
0.8649 0.1351 0.2500
0.0000 0.0000 0.0000
0.0000 0.0000 0.5000
0.1700 0.8300 0.2500
0.8300 0.1700 0.7500
0.4759 0.5241 0.2500
0.5241 0.4759 0.7500

=====

No. 4
NbZnIn (PBE-GGA, optimized geometry); mass density = 8270 kg/m³; final energy = -13.7 eV/cell; calculated formation energy = 0.14 eV per atom; total magnetic moment = 0.16 μB/f.u.
1.0
4.5812 0.0000 0.0000
-2.2906 3.9674 0.0000
0.0000 0.0000 3.0172
Nb Zn In
1 1 1
direct
0.0000 0.0000 0.0000
0.6667 0.3333 0.5000
0.3333 0.6667 0.5000